Computed, not measured: a geometry-optimized RbTc3Sb structure at the PBE level of DFT.

The structure in POSCAR format:
```
RbTc3Sb
1.0
4.847 0.000 0.000
0.000 4.847 0.000
0.000 0.000 4.847
Rb Tc Sb
1 3 1
Direct
0.000 0.000 0.000
0.000 0.000 0.500
0.000 0.500 0.000
0.500 0.000 0.000
0.500 0.500 0.500
```

Values from the calculation:
Volume (A^3/atom): 22.776
Formation energy from raw total energies (eV/f.u.): 15.29
Energy above the most stable polymorph in this dataset (meV per atom): 1250
Size of the total moment (μB/cell): 6.4